First-principles (PBE) data for a relaxed La2TlCd crystal, as listed in Alexandria.

Cell lengths 7.9190, 7.9278, 3.9677 Å; angles 90.00, 90.00, 90.00 degrees
Space group Cmmm (No. 65)
One atom of each set of equivalent atoms:
La 0.2500 0.2500 0.0000 [4 per cell]
Tl 0.0000 0.0000 0.5000 [2 per cell]
Cd 0.0000 0.5000 0.5000 [2 per cell]

Computed properties:
- ΔE to the lowest computed polymorph: 0.009 eV per atom
- Energy of formation from the pure elements: -0.377 eV/atom